[1]
Rb2I2Br: relaxed, GGA-PBE.

a = 4.7085 Å, b = 9.8887 Å, c = 10.5323 Å
α = 90.00°, β = 90.00°, γ = 103.77°
Last column: nearest neighbours and their distance in Å.
Atoms (fractional coordinates):
I: 0.8015 0.6030 0.2247  1 I 3.29, 2 Rb 3.66
I: 0.1985 0.3970 0.7247  1 I 3.29, 2 Rb 3.66
Rb: 0.9964 0.9928 0.2850  4 Br 3.55-3.70, 3 I 3.80-3.91
Br: 0.5423 0.0847 0.0271  6 Rb 3.55-3.70
Br: 0.4577 0.9153 0.5271  6 Rb 3.55-3.70
Rb: 0.0036 0.0072 0.7850  4 Br 3.55-3.70, 3 I 3.80-3.91
Rb: 0.8184 0.6367 0.5737  2 Br 3.60, 6 I 3.66-3.99
I: 0.3485 0.6970 0.8748  1 I 3.29
I: 0.6515 0.3030 0.3748  1 I 3.29
Rb: 0.1816 0.3633 0.0737  2 Br 3.60, 6 I 3.66-3.99

Computed properties:
crystal system: orthorhombic
theoretical density: 3.52 Mg/m³
total energy: -24.92 eV per cell

[2]
Rb5IBr8: relaxed, GGA-PBE.

a = 9.1479 Å, b = 9.1479 Å, c = 9.1479 Å
α = 103.91°, β = 112.32°, γ = 112.32°
Last column: nearest neighbours and their distance in Å.
Atoms (fractional coordinates):
Rb: 0.5768 0.6030 0.7589  5 Br 3.37-3.70
Rb: 0.8441 0.2411 0.8179  5 Br 3.37-3.70
Br: 0.7948 0.7974 0.5317  1 I 2.72
Br: 0.8069 0.5281 0.1067  5 Rb 3.37-3.51
Br: 0.2657 0.4683 0.2630  1 I 2.72
Rb: 0.4232 0.1821 0.0262  5 Br 3.37-3.70
Br: 0.4214 0.8933 0.7002  5 Rb 3.37-3.51
Br: 0.1931 0.2998 0.7212  5 Rb 3.37-3.51
Rb: 0.1559 0.9738 0.3970  5 Br 3.37-3.70
Br: 0.5786 0.2788 0.4719  5 Rb 3.37-3.51
I: 0.5000 0.7500 0.2500  4 Br 2.72
Br: 0.2052 0.7370 0.0026  1 I 2.72
Br: 0.7343 0.9974 0.2026  1 I 2.72
Rb: 0.0000 0.5000 0.5000  8 Br 3.48-3.86

Computed properties:
crystal system: tetragonal
theoretical density: 3.39 Mg/m³
total energy: -36.92 eV per cell

[3]
Rb2IBr4: relaxed, GGA-PBE.

a = 5.8634 Å, b = 5.8634 Å, c = 9.9723 Å
α = 107.10°, β = 107.10°, γ = 90.00°
Last column: nearest neighbours and their distance in Å.
Atoms (fractional coordinates):
Br: 0.0000 0.5000 0.0000  2 I 2.93
Br: 0.1752 0.1752 0.3504  1 I 3.18, 1 Rb 3.39
Rb: 0.6382 0.6382 0.2763  1 Br 3.39
Br: 0.5000 0.0000 0.0000  2 I 2.93
I: 0.0000 0.0000 0.0000  6 Br 2.93-3.18
Br: 0.8248 0.8248 0.6496  1 I 3.18, 1 Rb 3.39
Rb: 0.3618 0.3618 0.7237  1 Br 3.39

Computed properties:
offset from the most stable computed form: 52 meV per atom
crystal system: tetragonal
theoretical density: 3.29 Mg/m³
total energy: -16.42 eV per cell

[4]
Rb2IBr4: relaxed, GGA-PBE.

a = 7.9096 Å, b = 7.9096 Å, c = 7.2471 Å
α = 123.07°, β = 123.07°, γ = 90.00°
Last column: nearest neighbours and their distance in Å.
Atoms (fractional coordinates):
Rb: 0.7500 0.2500 0.5000  8 Br 3.63
I: 0.5000 0.5000 0.0000  4 Br 2.94
Br: 0.2374 0.2374 0.0001  1 I 2.94
Rb: 0.2500 0.7500 0.5000  8 Br 3.63
Br: 0.7626 0.7626 0.0001  1 I 2.94
Br: 0.2374 0.7626 0.9999  1 I 2.94
Br: 0.7626 0.2374 0.9999  1 I 2.94

Computed properties:
offset from the most stable computed form: 0 meV per atom
crystal system: tetragonal
theoretical density: 3.56 Mg/m³
total energy: -16.78 eV per cell

Q: Which size of the total moment values were calculated for the entries above? A: 1.01; 0.00; 1.02; 0.00, in μB per formula unit.